Below is an optimized crystal structure of NbPd2Au, with properties calculated at the GGA-PBE level.

Geometry as POSCAR:
```
NbPd2Au
1.0
4.963 0.000 0.000
0.000 4.630 0.000
-0.031 0.000 5.758
Nb Pd Au
2 4 2
Direct
0.000 0.000 0.000 Nb
0.176 0.500 0.710 Nb
0.012 0.000 0.492 Pd
0.174 0.500 0.222 Pd
0.682 0.500 0.979 Pd
0.688 0.500 0.486 Pd
0.504 0.000 0.241 Au
0.508 0.000 0.740 Au
```

Calculated values
Space-group type: Pm, No. 6
Distance to the lowest polymorph of the same formula, meV per atom: 104.7
Energy of formation from the pure elements, meV per atom: -220
Density of states at the Fermi level, states/eV/f.u.: 3.34
Final energy, eV for the cell shown: -49.22